Density functional theory data (PBE) for a relaxed structure of SmY7Tm12.

Summary:
- total magnetic moment (μB per cell) = 0.00
- theoretical density (g cm⁻³) = 7.193
- formation energy from the elements (eV per atom) = 0.253
- space-group type = R-3, No. 148
- DFT total energy (eV per atom) = -4.928

a = 8.656 Å, b = 8.656 Å, c = 8.656 Å
α = 87.25°, β = 87.25°, γ = 87.25°
Element x y z (fractional)
Sm 0.000 0.000 0.000
Y 0.998 0.635 0.119
Y 0.365 0.881 0.002
Y 0.881 0.002 0.365
Y 0.500 0.500 0.500
Y 0.119 0.998 0.635
Y 0.635 0.119 0.998
Y 0.002 0.365 0.881
Tm 0.766 0.239 0.644
Tm 0.761 0.356 0.234
Tm 0.433 0.106 0.348
Tm 0.894 0.652 0.567
Tm 0.356 0.234 0.761
Tm 0.652 0.567 0.894
Tm 0.348 0.433 0.106
Tm 0.644 0.766 0.239
Tm 0.106 0.348 0.433
Tm 0.567 0.894 0.652
Tm 0.239 0.644 0.766
Tm 0.234 0.761 0.356

---

Density functional theory data (PBE) for a relaxed structure of CeMnW2C4.

Summary:
- total magnetic moment (μB per cell) = 0.00
- theoretical density (g cm⁻³) = 10.866
- formation energy from the elements (eV per atom) = -0.062
- space-group type = Cmcm, No. 63
- DFT total energy (eV per atom) = -9.800

a = 3.230 Å, b = 5.684 Å, c = 10.604 Å
α = 90.00°, β = 90.00°, γ = 106.51°
Element x y z (fractional)
Ce 0.100 0.199 0.750
Ce 0.900 0.801 0.250
Mn 0.836 0.672 0.750
Mn 0.164 0.328 0.250
W 0.374 0.749 0.543
W 0.626 0.251 0.043
W 0.626 0.251 0.457
W 0.374 0.749 0.957
C 0.266 0.533 0.114
C 0.734 0.467 0.614
C 0.734 0.467 0.886
C 0.266 0.533 0.386
C 0.000 0.000 0.500
C 0.000 0.000 0.000
C 0.425 0.850 0.750
C 0.575 0.150 0.250

---

Density functional theory data (PBE) for a relaxed structure of Ag2HgI4.

Summary:
- formation energy from raw total energies (meV/atom) = -278
- total magnetic moment (μB per cell) = 0.00
- theoretical density (g cm⁻³) = 5.544
- space-group type = I-4, No. 82
- DFT total energy (eV per atom) = -2.022

a = 8.009 Å, b = 8.009 Å, c = 8.009 Å
α = 132.16°, β = 132.16°, γ = 69.98°
Element x y z (fractional)
Ag 0.250 0.750 0.500
Ag 0.500 0.500 0.000
Hg 0.000 0.000 0.000
I 0.630 0.131 0.023
I 0.869 0.892 0.499
I 0.108 0.607 0.977
I 0.393 0.370 0.501